[1]
# IrRh2Se6

Crystalline IrRh2Se6 at its relaxed geometry (PBE-GGA, Alexandria via LeMat-Bulk).

Lattice parameters (Å, degrees): 6.337 6.337 6.339 60.01 60.01 60.00
Fractional coordinates of all 9 atoms:
Rh: 0.286 0.286 0.143
Rh: 0.465 0.465 0.605
Se: 0.726 0.047 0.865
Se: 0.361 0.726 0.865
Se: 0.216 0.859 0.341
Se: 0.047 0.361 0.865
Se: 0.859 0.584 0.341
Se: 0.584 0.216 0.341
Ir: 0.790 0.790 0.629

Results
Uncorrected formation energy in eV per atom: -0.271
D(E_F) in states/eV/atom: 0.774
Total magnetic moment in μB/f.u.: 0.00
VASP energy in eV per cell: -46.91

[2]
# Sm3Mg5Ga2

Crystalline Sm3Mg5Ga2 at its relaxed geometry (PBE-GGA, Alexandria via LeMat-Bulk).

Lattice parameters (Å, degrees): 6.232 9.580 9.580 84.19 71.02 71.02
Fractional coordinates of all 20 atoms:
Mg: 0.608 0.235 0.548
Mg: 0.506 0.744 0.744
Mg: 0.750 0.500 0.500
Mg: 0.392 0.765 0.452
Mg: 0.108 0.548 0.235
Mg: 0.006 0.744 0.744
Mg: 0.994 0.256 0.256
Mg: 0.892 0.452 0.765
Mg: 0.250 0.500 0.500
Mg: 0.494 0.256 0.256
Sm: 0.750 0.000 0.000
Sm: 0.638 0.622 0.102
Sm: 0.250 0.000 0.000
Sm: 0.362 0.378 0.898
Sm: 0.862 0.898 0.378
Sm: 0.138 0.102 0.622
Ga: 0.858 0.287 0.998
Ga: 0.642 0.002 0.713
Ga: 0.142 0.713 0.002
Ga: 0.358 0.998 0.287

Results
Formation energy from the elements in eV per atom: -0.1595
D(E_F) in states/eV/atom: 0.727
Total magnetic moment in μB/f.u.: 0.00
VASP energy in eV per cell: -59.56